# LiNbCo3P6O24 | Alexandria via LeMat-Bulk | PBE+U | optimized geometry
data_LiNbCo3P6O24
_chemical_formula_sum 'Li1 Nb1 Co3 P6 O24'
_symmetry_space_group_name_H-M 'P 1'
_symmetry_Int_Tables_number 1
_symmetry_space_group_name_Hall 'P 1'
_cell_length_a 8.564
_cell_length_b 8.610
_cell_length_c 8.610
_cell_angle_alpha 119.91
_cell_angle_beta 90.38
_cell_angle_gamma 119.44
loop_
_atom_site_label
_atom_site_type_symbol
_atom_site_fract_x
_atom_site_fract_y
_atom_site_fract_z
Li1 Li 0.000 0.000 0.000
Nb1 Nb 0.912 0.273 0.639
Co1 Co 0.085 0.725 0.364
Co2 Co 0.435 0.286 0.145
Co3 Co 0.581 0.723 0.864
P1 P 0.257 0.791 0.746
P2 P 0.258 0.509 0.052
P3 P 0.259 0.208 0.466
P4 P 0.761 0.526 0.985
P5 P 0.762 0.220 0.239
P6 P 0.764 0.781 0.545
O1 O 0.079 0.382 0.884
O2 O 0.080 0.195 0.508
O3 O 0.083 0.571 0.692
O4 O 0.245 0.179 0.273
O5 O 0.245 0.971 0.910
O6 O 0.252 0.337 0.071
O7 O 0.254 0.673 0.245
O8 O 0.259 0.822 0.582
O9 O 0.264 0.015 0.435
O10 O 0.437 0.652 0.027
O11 O 0.440 0.414 0.631
O12 O 0.441 0.805 0.788
O13 O 0.573 0.191 0.192
O14 O 0.580 0.384 0.004
O15 O 0.585 0.574 0.383
O16 O 0.763 0.976 0.574
O17 O 0.765 0.193 0.406
O18 O 0.767 0.700 0.970
O19 O 0.770 0.368 0.792
O20 O 0.776 0.046 0.073
O21 O 0.780 0.806 0.734
O22 O 0.940 0.443 0.306
O23 O 0.951 0.658 0.144
O24 O 0.957 0.822 0.514
# E ... -0.5068 Ry per atom